Computed, not measured: Ti3ZnH after structural relaxation at the GGA-PBE level of DFT.

Cell and atoms, written as POSCAR:
```
Ti3ZnH
1.0
2.921 0.000 0.000
0.000 3.073 -3.880
0.000 3.073 3.880
H Zn Ti
1 1 3
direct
0.500 0.008 0.992
0.000 0.660 0.340
0.500 0.171 0.368
0.500 0.632 0.829
0.000 0.157 0.843
```

Calculated values
Relative energy among the computed polymorphs in eV/atom: 0.129

***

Computed, not measured: Ti3ZnH after structural relaxation at the GGA-PBE level of DFT.

Cell and atoms, written as POSCAR:
```
Ti3ZnH
1.0
-5.637 -4.427 -1.639
0.267 -1.345 2.715
-3.906 4.084 2.408
H Zn Ti
2 2 6
direct
0.968 0.979 0.092
0.978 0.479 0.845
0.607 0.479 0.097
0.602 0.479 0.592
0.118 0.479 0.580
0.127 0.479 0.104
0.834 0.979 0.835
0.373 0.979 0.844
0.845 0.979 0.358
0.373 0.979 0.345
```

Calculated values
Relative energy among the computed polymorphs in eV/atom: 0.058

***

Computed, not measured: Ti3ZnH after structural relaxation at the GGA-PBE level of DFT.

Cell and atoms, written as POSCAR:
```
Ti3ZnH
1.0
-14.551 8.534 -8.667
-3.120 -3.878 1.419
5.069 -1.980 5.732
H Zn Ti
4 4 12
direct
0.487 0.775 0.531
0.513 0.225 0.469
0.013 0.275 0.969
0.987 0.725 0.031
0.956 0.172 0.297
0.044 0.828 0.703
0.544 0.672 0.203
0.456 0.328 0.797
0.292 0.932 0.941
0.708 0.068 0.059
0.208 0.432 0.559
0.792 0.568 0.441
0.328 0.441 0.186
0.672 0.559 0.814
0.172 0.941 0.314
0.828 0.059 0.686
0.434 0.852 0.650
0.566 0.148 0.350
0.066 0.352 0.850
0.934 0.648 0.150
```

Calculated values
Relative energy among the computed polymorphs in eV/atom: 0.145

***

Computed, not measured: TiZnH2 after structural relaxation at the GGA-PBE level of DFT.

Cell and atoms, written as POSCAR:
```
TiZnH2
1.0
-2.474 -2.209 -1.601
-3.109 -0.873 1.772
-3.221 1.369 -1.148
H Zn Ti
2 1 1
direct
0.250 0.250 0.250
0.750 0.750 0.750
0.500 0.500 0.500
0.000 0.000 0.000
```

Calculated values
Relative energy among the computed polymorphs in eV/atom: 0.170

***

Computed, not measured: Ti3ZnH after structural relaxation at the GGA-PBE level of DFT.

Cell and atoms, written as POSCAR:
```
Ti3ZnH
1.0
-0.270 -6.150 8.483
-5.406 -3.364 2.732
-1.002 -1.735 -6.633
H Zn Ti
4 4 12
direct
0.326 0.164 0.507
0.174 0.007 0.664
0.674 0.836 0.493
0.826 0.993 0.336
0.750 0.263 0.763
0.250 0.737 0.237
0.750 0.574 0.074
0.250 0.426 0.926
0.440 0.236 0.426
0.060 0.926 0.736
0.560 0.764 0.574
0.940 0.074 0.264
0.094 0.240 0.099
0.406 0.599 0.740
0.906 0.760 0.901
0.594 0.401 0.260
0.584 0.077 0.930
0.916 0.430 0.577
0.416 0.923 0.070
0.084 0.570 0.423
```

Calculated values
Relative energy among the computed polymorphs in eV/atom: 0.115

***

Computed, not measured: Ti3ZnH after structural relaxation at the GGA-PBE level of DFT.

Cell and atoms, written as POSCAR:
```
Ti3ZnH
1.0
3.429 -1.980 0.000
0.000 3.959 0.000
0.000 0.000 13.306
H Zn Ti
2 2 6
direct
0.000 0.000 0.000
0.000 0.000 0.500
0.333 0.667 0.750
0.667 0.333 0.250
0.000 0.000 0.250
0.000 0.000 0.750
0.333 0.667 0.940
0.333 0.667 0.560
0.667 0.333 0.440
0.667 0.333 0.060
```

Calculated values
Relative energy among the computed polymorphs in eV/atom: 1.209

***

Computed, not measured: TiZn2H2 after structural relaxation at the GGA-PBE level of DFT.

Cell and atoms, written as POSCAR:
```
TiZn2H2
1.0
-2.427 1.419 0.260
-0.676 -1.567 2.249
1.526 4.443 5.326
H Zn Ti
2 2 1
direct
0.750 0.250 0.500
0.250 0.750 0.500
0.351 0.351 0.299
0.649 0.649 0.701
0.000 0.000 0.000
```

Calculated values
Relative energy among the computed polymorphs in eV/atom: 0.322

***

Computed, not measured: TiZn2H after structural relaxation at the GGA-PBE level of DFT.

Cell and atoms, written as POSCAR:
```
TiZn2H
1.0
0.000 3.020 3.020
3.020 0.000 3.020
3.020 3.020 0.000
H Zn Ti
1 2 1
direct
0.000 0.000 0.000
0.250 0.250 0.250
0.750 0.750 0.750
0.500 0.500 0.500
```

Calculated values
Relative energy among the computed polymorphs in eV/atom: 0.270

***

Computed, not measured: Ti3ZnH after structural relaxation at the GGA-PBE level of DFT.

Cell and atoms, written as POSCAR:
```
Ti3ZnH
1.0
15.085 0.000 -2.122
5.770 1.384 -4.149
-5.770 1.384 4.149
H Zn Ti
2 2 6
direct
0.886 0.981 0.019
0.114 0.019 0.981
0.549 0.043 0.957
0.451 0.957 0.043
0.205 0.812 0.188
0.795 0.188 0.812
0.045 0.299 0.701
0.955 0.701 0.299
0.328 0.891 0.109
0.672 0.109 0.891
```

Calculated values
Relative energy among the computed polymorphs in eV/atom: 0.173

***

Computed, not measured: Ti3ZnH after structural relaxation at the GGA-PBE level of DFT.

Cell and atoms, written as POSCAR:
```
Ti3ZnH
1.0
-5.403 1.379 -5.409
-1.917 -1.661 1.491
-1.788 4.756 2.998
H Zn Ti
2 2 6
direct
0.082 0.929 0.319
0.082 0.929 0.819
0.583 0.428 0.069
0.583 0.428 0.569
0.082 0.429 0.569
0.082 0.429 0.069
0.822 0.929 0.819
0.343 0.929 0.819
0.822 0.929 0.319
0.343 0.929 0.319
```

Calculated values
Relative energy among the computed polymorphs in eV/atom: 0.059

***

Computed, not measured: Ti3ZnH after structural relaxation at the GGA-PBE level of DFT.

Cell and atoms, written as POSCAR:
```
Ti3ZnH
1.0
-3.579 6.064 -1.644
-1.529 -0.187 2.637
4.427 3.373 2.805
H Zn Ti
2 2 6
direct
0.934 0.929 0.070
0.231 0.929 0.070
0.583 0.428 0.067
0.583 0.428 0.571
0.083 0.428 0.568
0.083 0.429 0.070
0.817 0.929 0.806
0.348 0.929 0.806
0.815 0.928 0.333
0.350 0.928 0.333
```

Calculated values
Relative energy among the computed polymorphs in eV/atom: 0.061

***

Computed, not measured: ZrTiZnH2 after structural relaxation at the GGA-PBE level of DFT.

Cell and atoms, written as POSCAR:
```
ZrTiZnH2
1.0
-3.184 -1.147 -1.498
1.622 -5.447 0.722
-1.568 -0.023 3.352
H Zn Zr Ti
2 1 1 1
direct
0.000 0.000 0.500
0.500 0.000 0.000
0.000 0.000 0.000
0.000 0.500 0.000
0.500 0.500 0.500
```

Calculated values
Final energy in eV per atom: -3.96

***

Computed, not measured: Zr2TiZnH after structural relaxation at the GGA-PBE level of DFT.

Cell and atoms, written as POSCAR:
```
Zr2TiZnH
1.0
4.340 0.000 0.000
0.000 4.340 0.000
0.000 0.000 4.185
H Zn Zr Ti
1 1 2 1
direct
0.000 0.000 0.000
0.000 0.000 0.500
0.000 0.500 0.000
0.500 0.000 0.000
0.500 0.500 0.500
```

Calculated values
Relative energy among the computed polymorphs in eV/atom: 0.113

***

Computed, not measured: Zr2TiZnH after structural relaxation at the GGA-PBE level of DFT.

Cell and atoms, written as POSCAR:
```
Zr2TiZnH
1.0
-0.423 -4.257 -0.841
4.141 -0.144 -1.358
1.234 -0.885 3.858
H Zn Zr Ti
1 1 2 1
direct
0.000 0.000 0.000
0.500 0.500 0.500
0.000 0.500 0.000
0.500 0.000 0.000
0.000 0.000 0.500
```

Calculated values
Relative energy among the computed polymorphs in eV/atom: 0.000

***

Computed, not measured: ZrTi3H3 after structural relaxation at the GGA-PBE level of DFT.

Cell and atoms, written as POSCAR:
```
ZrTi3H3
1.0
5.130 0.000 0.000
2.565 4.442 0.000
2.565 1.481 7.374
Zr Ti H
2 6 6
direct
0.333 0.333 0.001
0.667 0.667 0.999
0.451 0.780 0.654
0.780 0.115 0.654
0.115 0.451 0.654
0.885 0.549 0.346
0.220 0.885 0.346
0.549 0.220 0.346
0.285 0.588 0.189
0.937 0.285 0.189
0.588 0.937 0.189
0.412 0.063 0.811
0.063 0.715 0.811
0.715 0.412 0.811
```

Calculated values
Final energy in eV per atom: -6.22

***

Computed, not measured: ZrTiH2 after structural relaxation at the GGA-PBE level of DFT.

Cell and atoms, written as POSCAR:
```
ZrTiH2
1.0
4.983 0.000 0.000
0.000 4.983 0.000
2.492 2.492 3.630
H Zr Ti
4 2 2
direct
0.598 0.125 0.250
0.152 0.625 0.250
0.375 0.402 0.750
0.875 0.848 0.750
0.000 0.000 0.000
0.750 0.250 0.500
0.500 0.500 0.000
0.250 0.750 0.500
```

Calculated values
Relative energy among the computed polymorphs in eV/atom: 0.000

***

Computed, not measured: Zr2TiH4 after structural relaxation at the GGA-PBE level of DFT.

Cell and atoms, written as POSCAR:
```
Zr2TiH4
1.0
-2.737 -1.028 -0.969
2.289 -3.753 -2.484
-0.156 -0.167 5.513
Zr Ti H
2 1 4
direct
0.661 0.640 0.322
0.339 0.360 0.678
0.000 0.000 0.000
0.842 0.081 0.684
0.158 0.919 0.316
0.648 0.218 0.296
0.352 0.782 0.704
```

Calculated values
Final energy in eV per atom: -5.85

***

Computed, not measured: Zr3Ti2H4 after structural relaxation at the GGA-PBE level of DFT.

Cell and atoms, written as POSCAR:
```
Zr3Ti2H4
1.0
5.471 0.377 0.270
0.755 6.309 -1.835
0.755 0.296 6.564
Zr Ti H
6 4 8
direct
0.964 0.973 0.223
0.536 0.777 0.027
0.036 0.027 0.777
0.464 0.223 0.973
0.250 0.621 0.379
0.750 0.379 0.621
0.345 0.178 0.434
0.155 0.566 0.822
0.655 0.822 0.566
0.845 0.434 0.178
0.605 0.931 0.324
0.895 0.676 0.069
0.395 0.069 0.676
0.105 0.324 0.931
0.025 0.276 0.344
0.475 0.656 0.724
0.975 0.724 0.656
0.525 0.344 0.276
```

Calculated values
Final energy in eV per atom: -6.34

***

Computed, not measured: Zr3TiH after structural relaxation at the GGA-PBE level of DFT.

Cell and atoms, written as POSCAR:
```
Zr3TiH
1.0
4.464 0.000 0.000
0.000 4.464 0.000
0.000 0.000 4.464
H Zr Ti
1 3 1
direct
0.000 0.000 0.000
0.000 0.500 0.000
0.000 0.000 0.500
0.500 0.000 0.000
0.500 0.500 0.500
```

Calculated values
Relative energy among the computed polymorphs in eV/atom: 0.000

***

Computed, not measured: Zr2TiH6 after structural relaxation at the GGA-PBE level of DFT.

Cell and atoms, written as POSCAR:
```
Zr2TiH6
1.0
3.278 0.000 0.052
0.000 4.813 0.000
-1.173 -2.407 4.827
Zr Ti H
2 1 6
direct
0.672 0.663 0.326
0.328 0.337 0.674
0.000 0.000 0.000
0.165 0.400 0.323
0.835 0.077 0.677
0.835 0.600 0.677
0.500 0.226 0.000
0.165 0.923 0.323
0.500 0.774 0.000
```

Calculated values
Final energy in eV per atom: -5.55

***

| no. | DOS at the Fermi energy (states/eV per atom) | magnetic moment (μB per atom) |
| --- | --- | --- |
| 1 | 0.819 | 0.000 |
| 2 | 0.740 | 0.000 |
| 3 | 1.076 | 0.000 |
| 4 | 0.284 | 0.000 |
| 5 | 0.781 | 0.000 |
| 6 | 1.101 | 0.602 |
| 7 | 0.654 | 0.067 |
| 8 | 0.788 | 0.000 |
| 9 | 1.146 | 0.000 |
| 10 | 0.755 | 0.000 |
| 11 | 1.011 | 0.000 |
| 12 | 0.674 | 0.000 |
| 13 | 0.625 | 0.000 |
| 14 | 0.471 | 0.000 |
| 15 | 0.831 | 0.000 |
| 16 | 0.476 | 0.000 |
| 17 | 0.518 | 0.000 |
| 18 | 0.912 | 0.000 |
| 19 | 1.384 | 0.000 |
| 20 | 0.250 | 0.000 |